Entry 1:
La3In4Ag4 (GGA-PBE, optimized geometry); formation energy = -8.15 kcal/mol of atoms
1.0
-1.942 1.345 -4.058
-6.698 -2.657 2.326
2.608 7.747 4.036
La In Ag
3 4 4
Cartesian
-0.441 1.826 0.816
-5.591 4.609 1.487
-3.349 -1.328 1.163
0.198 5.220 1.635
-3.569 2.271 -0.256
-6.230 1.215 0.668
-2.463 4.164 2.559
-4.085 1.720 2.525
-1.947 4.715 -0.222
-6.407 -1.484 -0.141
-2.233 0.172 -1.591

=====

Entry 2:
Sc2SiI (GGA-PBE, optimized geometry); polymorph energy (0 for the lowest one) = 0.408 eV/atom; energy relative to the elements, uncorrected = -207.9 meV per atom
1.0
6.273 0.000 0.000
0.000 6.273 0.000
3.136 3.136 6.489
I Sc Si
2 4 2
Cartesian
0.000 0.000 0.000
6.273 3.136 3.245
4.353 1.568 1.622
1.920 4.705 1.622
4.705 5.056 4.867
7.841 7.489 4.867
3.136 3.136 0.000
3.136 6.273 3.245